# 1
Compound: Ba3PuI2O6
Source: Alexandria
Functional: PBE
Structure: optimized geometry

Properties
E: -6.483 eV per atom

Unit cell a=7.7079 b=7.7079 c=6.4482 alpha=95.06 beta=95.06 gamma=58.21
Fractional coordinates of all 12 atoms:
Ba: 0.0000 0.0000 0.0000
Ba: 0.0000 0.5000 0.5000
Ba: 0.5000 0.0000 0.5000
Pu: 0.5000 0.5000 0.5000
I: 0.2378 0.2378 0.9345
I: 0.7622 0.7622 0.0655
O: 0.2518 0.6467 0.6713
O: 0.3533 0.7482 0.3287
O: 0.3605 0.3605 0.3626
O: 0.6395 0.6395 0.6374
O: 0.6467 0.2518 0.6713
O: 0.7482 0.3533 0.3287

# 2
Compound: BaPuIO6
Source: Alexandria
Functional: PBE
Structure: optimized geometry

Properties
E: -7.189 eV per atom

Unit cell a=5.9543 b=5.9543 c=5.6127 alpha=90.71 beta=90.71 gamma=120.94
Fractional coordinates of all 9 atoms:
Ba: 0.0000 0.0000 0.0000
Pu: 0.6885 0.3115 0.5000
I: 0.3621 0.6379 0.5000
O: 0.0410 0.3669 0.3008
O: 0.3613 0.3822 0.6937
O: 0.4399 0.0613 0.2775
O: 0.6178 0.6387 0.3063
O: 0.6331 0.9590 0.6992
O: 0.9387 0.5601 0.7225

# 3
Compound: RbBaIO
Source: Alexandria
Functional: PBE
Structure: optimized geometry

Properties
E: -4.074 eV per atom

Unit cell a=9.0570 b=9.0570 c=9.0570 alpha=26.77 beta=26.77 gamma=26.77
Fractional coordinates of all 4 atoms:
Rb: 0.0000 0.0000 0.0000
Ba: 0.8713 0.8713 0.8713
I: 0.4328 0.4328 0.4328
O: 0.5790 0.5790 0.5790

# 4
Compound: RbBaIO2
Source: Alexandria
Functional: PBE
Structure: optimized geometry

Properties
E: -3.438 eV per atom
energy above the most stable polymorph in this dataset: 545 meV per atom

Unit cell a=5.0934 b=5.0934 c=6.4165 alpha=90.00 beta=90.00 gamma=90.00
Fractional coordinates of all 5 atoms:
Rb: 0.0000 0.0000 0.0000
Ba: 0.5000 0.5000 0.5000
I: 0.0000 0.0000 0.5000
O: 0.0000 0.5000 0.0000
O: 0.5000 0.0000 0.0000

# 5
Compound: RbBaIO6
Source: Alexandria
Functional: PBE
Structure: optimized geometry

Properties
E: -4.820 eV per atom

Unit cell a=5.9297 b=5.9297 c=4.9053 alpha=90.10 beta=90.10 gamma=60.05
Fractional coordinates of all 9 atoms:
Rb: 0.0000 0.0000 0.0000
Ba: 0.3335 0.3335 0.5983
I: 0.6667 0.6667 0.2919
O: 0.3692 0.8157 0.5227
O: 0.5103 0.5103 0.0925
O: 0.5106 0.9788 0.0925
O: 0.8157 0.3692 0.5227
O: 0.8157 0.8157 0.5231
O: 0.9788 0.5106 0.0925

# 6
Compound: RbBa2IO6
Source: Alexandria
Functional: PBE
Structure: optimized geometry

Properties
E: -5.304 eV per atom

Unit cell a=6.2040 b=6.2040 c=6.2040 alpha=62.95 beta=62.95 gamma=62.95
Fractional coordinates of all 10 atoms:
Rb: 0.0000 0.0000 0.0000
Ba: 0.2585 0.2585 0.2585
Ba: 0.7415 0.7415 0.7415
I: 0.5000 0.5000 0.5000
O: 0.2077 0.3836 0.6836
O: 0.3164 0.7923 0.6164
O: 0.3836 0.6836 0.2077
O: 0.6164 0.3164 0.7923
O: 0.6836 0.2077 0.3836
O: 0.7923 0.6164 0.3164

# 7
Compound: RbBaIO2
Source: Alexandria
Functional: PBE
Structure: optimized geometry

Properties
E: -3.983 eV per atom
energy above the most stable polymorph in this dataset: 0 meV per atom

Unit cell a=5.0794 b=5.0794 c=7.2030 alpha=90.00 beta=90.00 gamma=90.00
Fractional coordinates of all 5 atoms:
Rb: 0.0000 0.0000 0.0000
Ba: 0.5000 0.5000 0.5000
I: 0.5000 0.5000 0.0000
O: 0.0000 0.5000 0.5000
O: 0.5000 0.0000 0.5000

# 8
Compound: Rb2Ba2IO6
Source: Alexandria
Functional: PBE
Structure: optimized geometry

Properties
E: -4.878 eV per atom

Unit cell a=6.4947 b=6.4947 c=6.9681 alpha=97.08 beta=97.08 gamma=118.28
Fractional coordinates of all 11 atoms:
Rb: 0.1545 0.8455 0.0000
Rb: 0.8455 0.1545 0.0000
Ba: 0.3379 0.6621 0.5000
Ba: 0.6621 0.3379 0.5000
I: 0.0000 0.0000 0.5000
O: 0.0403 0.3051 0.6653
O: 0.2016 0.2016 0.3199
O: 0.3051 0.0403 0.6653
O: 0.6949 0.9597 0.3347
O: 0.7984 0.7984 0.6801
O: 0.9597 0.6949 0.3347

The calculation returns the following uncorrected formation energy values, one per record and in order: -2.070 -1.905 -1.725 -0.567 -1.021 -1.693 -1.111 -1.507 eV/atom.